(1)
# Pr3Dy6Er2Mg

A relaxed structure of Pr3Dy6Er2Mg (PBE-GGA, the Alexandria database).

abc: 6.190 6.190 11.737
angles: 95.09 95.09 120.07
Atoms (fractional coordinates):
Pr (0.500, 0.500, 0.500)
Pr (0.834, 0.166, 0.500)
Pr (0.166, 0.834, 0.500)
Dy (0.080, 0.412, 0.243)
Dy (0.920, 0.588, 0.757)
Dy (0.747, 0.747, 0.244)
Dy (0.588, 0.920, 0.757)
Dy (0.253, 0.253, 0.756)
Dy (0.412, 0.080, 0.243)
Er (0.334, 0.666, 0.000)
Er (0.666, 0.334, 0.000)
Mg (0.000, 0.000, 0.000)

Properties
space-group type = No. 12
crystal system = monoclinic
energy of formation = 0.04 eV/atom



(2)
# Ca2TcP2

A relaxed structure of Ca2TcP2 (PBE-GGA, the Alexandria database).

abc: 6.430 6.430 4.475
angles: 90.00 90.00 90.00
Atoms (fractional coordinates):
Tc (0.000, 0.000, 0.000)
Tc (0.500, 0.500, 0.000)
Ca (0.179, 0.679, 0.500)
Ca (0.321, 0.179, 0.500)
Ca (0.679, 0.821, 0.500)
Ca (0.821, 0.321, 0.500)
P (0.867, 0.633, 0.000)
P (0.133, 0.367, 0.000)
P (0.367, 0.867, 0.000)
P (0.633, 0.133, 0.000)

Properties
space-group type = No. 127
crystal system = tetragonal
energy of formation = -0.72 eV/atom



(3)
# TaFe2Re

A relaxed structure of TaFe2Re (PBE-GGA, the Alexandria database).

abc: 4.993 4.993 4.993
angles: 143.30 129.40 64.12
Last column: magnetic moment on the atom in μB.
Atoms (fractional coordinates):
Re (0.250, 0.750, 0.500)  0.09
Fe (0.003, 0.003, 0.000)  2.23
Fe (0.497, 0.497, 0.000)  2.23
Ta (0.750, 0.250, 0.500)  -0.21

Properties
space-group type = No. 71
crystal system = orthorhombic
energy of formation = 0.00 eV/atom



(4)
# Ta3TiCl

A relaxed structure of Ta3TiCl (PBE-GGA, the Alexandria database).

abc: 4.536 4.536 4.536
angles: 90.00 90.00 90.00
Atoms (fractional coordinates):
Cl (0.000, 0.000, 0.000)
Ti (0.500, 0.500, 0.500)
Ta (0.000, 0.500, 0.000)
Ta (0.500, 0.000, 0.000)
Ta (0.000, 0.000, 0.500)

Properties
space-group type = No. 221
crystal system = cubic
formation energy without anion corrections = 763 meV per atom
offset from the most stable computed form = 0.000 eV/atom



| no. | size of the total moment (Bohr magnetons per cell) | volume (Å³/atom) |
| --- | --- | --- |
| 1 | 0.0 | 31.9 |
| 2 | 0.0 | 18.5 |
| 3 | 4.2 | 14.2 |
| 4 | 0.0 | 18.7 |